Entry from the Alexandria database: a geometry-optimized LiBrN structure (GGA-PBE).

Cell and atoms, written as CIF:
```
data_LiBrN
_symmetry_space_group_name_H-M 'P 1 21/c 1'
_symmetry_Int_Tables_number 14
_cell_length_a 8.119
_cell_length_b 6.640
_cell_length_c 6.649
_cell_angle_alpha 90.00
_cell_angle_beta 114.09
_cell_angle_gamma 90.00
loop_
_symmetry_equiv_pos_as_xyz
'x,y,z'
'-x,-y,-z'
'-x,y+1/2,-z+1/2'
'x,-y+1/2,z+1/2'
loop_
_atom_site_label
_atom_site_type_symbol
_atom_site_fract_x
_atom_site_fract_y
_atom_site_fract_z
Li1 Li 0.001 0.250 0.000
Br1 Br 0.145 0.501 0.323
N1 N 0.495 0.190 0.680
```

Results
formation energy (no corrections)	213	kJ/mol of formula units
calculated volume	27.27	Å³/atom
raw total energy	-3.236	eV per atom